[1]
The following is a DFT calculation (PBE) of a geometry-optimized ScAuSe2Br structure.

Cell lengths 5.162, 5.162, 5.035 Å; angles 90.00, 90.00, 90.00 degrees
Space group P4/mmm (No. 123)
Unique sites:
Sc (0.000, 0.000, 0.000) x1
Au (0.500, 0.500, 0.500) x1
Se (0.000, 0.500, 0.500) x2
Br (0.500, 0.500, 0.000) x1

Summary:
Formation energy (no corrections) in kJ/mol of atoms: 2.38
Energy above the lowest structure with this stoichiometry in eV per atom: 0.3092


[2]
The following is a DFT calculation (PBE) of a geometry-optimized ReNi4Ag2 structure.

Cell lengths 4.494, 4.494, 12.669 Å; angles 90.00, 90.00, 90.00 degrees
Space group I4/mmm (No. 139)
Unique sites:
Re (0.000, 0.000, 0.000) x2
Ni (0.000, 0.000, 0.179) x4
Ni (0.000, 0.500, 0.000) x4
Ag (0.000, 0.000, 0.382) x4

Summary:
Formation energy in kJ/mol of formula units: 749


[3]
The following is a DFT calculation (PBE) of a geometry-optimized K8CdHg2 structure.

Cell lengths 22.300, 6.012, 8.762 Å; angles 90.00, 108.00, 90.00 degrees
Space group C2/m (No. 12)
Unique sites:
K (0.032, 0.000, 0.288) x4
K (0.096, 0.500, 0.954) x4
K (0.169, 0.500, 0.464) x4
K (0.204, 0.000, 0.810) x4
Cd (0.000, 0.500, 0.500) x2
Hg (0.182, 0.000, 0.204) x4

Summary:
Energy above the lowest structure with this stoichiometry in eV per atom: 0.0000
Formation energy in kJ/mol of formula units: -101


> What is the formula in the second record?

ReNi4Ag2